The following is a DFT calculation (PBE-GGA) of an optimized crystal structure of HoZrBi2.

DOS at the Fermi energy in states/eV/cell: 6.8
Energy relative to the elements in eV per formula unit: -2.00
Calculated volume in Å³ per cell: 348.1
Total magnetization in μB per cell: 0.00

a = 4.3165 Å, b = 4.3165 Å, c = 21.5749 Å
α = 90.00°, β = 90.00°, γ = 120.00°
With the nearest neighbours (Å) after each atom.
Space group R-3m (No. 166, hexagonal axes)
Asymmetric unit:
Ho1 0.0000 0.0000 0.0000 (multiplicity 3)  6 Bi 3.12
Zr1 0.0000 0.0000 0.5000 (multiplicity 3)  6 Bi 3.03
Bi1 0.0000 0.0000 0.2465 (multiplicity 6)  3 Zr 3.03, 3 Ho 3.12